(1)
Compound: TmPu2O11
Source: Alexandria
Functional: PBE
Structure: optimized geometry

a b c (Å): 8.360 8.360 8.360
angles (deg): 102.82 117.94 108.04
Fractional coordinates of all 28 atoms:
Tm 0.000 0.000 0.000
Tm 0.000 0.500 0.500
Pu 0.078 0.029 0.549
Pu 0.480 0.529 0.451
Pu 0.503 0.989 0.014
Pu 0.975 0.489 0.986
O 0.037 0.039 0.752
O 0.037 0.785 0.498
O 0.092 0.012 0.329
O 0.092 0.263 0.580
O 0.287 0.285 0.248
O 0.287 0.539 0.502
O 0.301 0.597 0.204
O 0.304 0.000 0.056
O 0.304 0.748 0.804
O 0.393 0.097 0.796
O 0.480 0.339 0.641
O 0.530 0.815 0.215
O 0.599 0.315 0.785
O 0.683 0.512 0.420
O 0.683 0.763 0.671
O 0.697 0.839 0.359
O 0.714 0.217 0.248
O 0.714 0.967 0.997
O 0.944 0.248 0.944
O 0.944 0.500 0.196
O 0.970 0.467 0.752
O 0.970 0.717 0.003

Computed properties:
The value obtained for the total magnetization is 3.027 μB/f.u. The value obtained for the final energy is -8.165 eV/atom.

(2)
Compound: Sm6Co2AgI3
Source: Alexandria
Functional: PBE
Structure: optimized geometry

a b c (Å): 10.167 10.167 9.402
angles (deg): 110.67 110.67 23.24
Fractional coordinates of all 12 atoms:
Sm 0.031 0.031 0.249
Sm 0.316 0.316 0.447
Sm 0.335 0.335 0.853
Sm 0.665 0.665 0.147
Sm 0.684 0.684 0.553
Sm 0.969 0.969 0.751
Co 0.170 0.170 0.344
Co 0.830 0.830 0.656
Ag 0.500 0.500 0.000
I 0.163 0.163 0.838
I 0.500 0.500 0.500
I 0.837 0.837 0.162

Computed properties:
The value obtained for the total magnetization is 0.000 μB/f.u. The value obtained for the final energy is -4.737 eV/atom.

(3)
Compound: La5Mg
Source: Alexandria
Functional: PBE
Structure: optimized geometry

a b c (Å): 5.983 9.480 9.480
angles (deg): 22.85 90.00 90.00
Fractional coordinates of all 6 atoms:
La 0.000 0.000 0.000
La 0.000 0.320 0.320
La 0.500 0.126 0.126
La 0.500 0.459 0.459
La 0.500 0.784 0.784
Mg 0.000 0.663 0.663

Computed properties:
The calculation puts the offset from the most stable computed form at 36.0 meV/atom. The formation energy is 0.004 eV per atom. The value obtained for the total magnetization is 0.000 μB/f.u.

(4)
Compound: SmHo2Sb
Source: Alexandria
Functional: PBE
Structure: optimized geometry

a b c (Å): 3.973 3.973 7.348
angles (deg): 90.00 90.00 90.00
Fractional coordinates of all 4 atoms:
Sm 0.000 0.000 0.000
Ho 0.500 0.500 0.281
Ho 0.500 0.500 0.719
Sb 0.000 0.000 0.500

Computed properties:
The calculation puts the offset from the most stable computed form at 117.4 meV/atom. The value obtained for the total magnetization is 0.000 μB/f.u.

(5)
Compound: Ca5Pm3Te12
Source: Alexandria
Functional: PBE
Structure: optimized geometry

a b c (Å): 15.895 15.895 15.895
angles (deg): 109.47 109.47 109.47
Fractional coordinates of all 80 atoms:
Ca 0.000 0.000 0.000
Ca 0.000 0.000 0.500
Ca 0.000 0.500 0.000
Ca 0.000 0.500 0.500
Ca 0.125 0.750 0.875
Ca 0.125 0.875 0.250
Ca 0.250 0.125 0.875
Ca 0.250 0.625 0.375
Ca 0.375 0.250 0.625
Ca 0.375 0.625 0.750
Ca 0.500 0.000 0.000
Ca 0.500 0.000 0.500
Ca 0.500 0.500 0.000
Ca 0.500 0.500 0.500
Ca 0.625 0.375 0.250
Ca 0.625 0.750 0.375
Ca 0.750 0.375 0.625
Ca 0.750 0.875 0.125
Ca 0.875 0.125 0.750
Ca 0.875 0.250 0.125
Pm 0.125 0.250 0.375
Pm 0.125 0.375 0.750
Pm 0.250 0.375 0.125
Pm 0.250 0.875 0.625
Pm 0.375 0.125 0.250
Pm 0.375 0.750 0.125
Pm 0.625 0.250 0.875
Pm 0.625 0.875 0.750
Pm 0.750 0.125 0.375
Pm 0.750 0.625 0.875
Pm 0.875 0.625 0.250
Pm 0.875 0.750 0.625
Te 0.060 0.236 0.136
Te 0.060 0.325 0.924
Te 0.076 0.636 0.400
Te 0.076 0.940 0.675
Te 0.100 0.736 0.675
Te 0.100 0.864 0.424
Te 0.136 0.060 0.236
Te 0.136 0.576 0.900
Te 0.175 0.236 0.600
Te 0.175 0.440 0.576
Te 0.236 0.136 0.060
Te 0.236 0.600 0.175
Te 0.264 0.325 0.900
Te 0.264 0.440 0.364
Te 0.325 0.900 0.264
Te 0.325 0.924 0.060
Te 0.364 0.264 0.440
Te 0.364 0.600 0.924
Te 0.400 0.076 0.636
Te 0.400 0.825 0.764
Te 0.424 0.100 0.864
Te 0.424 0.825 0.560
Te 0.440 0.364 0.264
Te 0.440 0.576 0.175
Te 0.560 0.424 0.825
Te 0.560 0.636 0.736
Te 0.576 0.175 0.440
Te 0.576 0.900 0.136
Te 0.600 0.175 0.236
Te 0.600 0.924 0.364
Te 0.636 0.400 0.076
Te 0.636 0.736 0.560
Te 0.675 0.076 0.940
Te 0.675 0.100 0.736
Te 0.736 0.560 0.636
Te 0.736 0.675 0.100
Te 0.764 0.400 0.825
Te 0.764 0.864 0.940
Te 0.825 0.560 0.424
Te 0.825 0.764 0.400
Te 0.864 0.424 0.100
Te 0.864 0.940 0.764
Te 0.900 0.136 0.576
Te 0.900 0.264 0.325
Te 0.924 0.060 0.325
Te 0.924 0.364 0.600
Te 0.940 0.675 0.076
Te 0.940 0.764 0.864

Computed properties:
The value obtained for the total magnetization is 0.000 μB/f.u. The value obtained for the final energy is -4.114 eV/atom.

(6)
Compound: Li4Cu4Pd3
Source: Alexandria
Functional: PBE
Structure: optimized geometry

a b c (Å): 4.233 4.932 7.740
angles (deg): 89.19 89.73 65.50
Fractional coordinates of all 11 atoms:
Li 0.099 0.301 0.142
Li 0.283 0.935 0.423
Li 0.717 0.065 0.577
Li 0.901 0.699 0.858
Cu 0.368 0.767 0.035
Cu 0.468 0.562 0.701
Cu 0.532 0.438 0.299
Cu 0.632 0.233 0.965
Pd 0.000 0.500 0.500
Pd 0.184 0.132 0.778
Pd 0.816 0.868 0.222

Computed properties:
The formation energy is -0.237 eV per atom. The value obtained for the total magnetization is 0.000 μB/f.u.

(7)
Compound: CoPRu
Source: Alexandria
Functional: PBE
Structure: optimized geometry

a b c (Å): 4.278 4.278 4.278
angles (deg): 141.09 129.47 65.56
Fractional coordinates of all 3 atoms:
Co 0.000 0.000 0.000
P 0.680 0.680 0.000
Ru 0.345 0.345 0.000

Computed properties:
The formation energy is 0.018 eV per atom. The value obtained for the total magnetization is 2.096 μB/f.u.

(8)
Compound: Ta2CuRh
Source: Alexandria
Functional: PBE
Structure: optimized geometry

a b c (Å): 2.820 4.553 4.886
angles (deg): 90.00 93.75 90.00
Fractional coordinates of all 4 atoms:
Ta 0.000 0.000 0.000
Ta 0.136 0.500 0.635
Cu 0.569 0.500 0.143
Rh 0.558 0.000 0.483

Computed properties:
The formation energy is -0.166 eV per atom. The value obtained for the total magnetization is 0.000 μB/f.u.

(9)
Compound: PrCdS
Source: Alexandria
Functional: PBE
Structure: optimized geometry

a b c (Å): 8.319 8.319 8.319
angles (deg): 34.01 34.01 34.01
Fractional coordinates of all 6 atoms:
Pr 0.091 0.091 0.091
Pr 0.909 0.909 0.909
Cd 0.333 0.333 0.333
Cd 0.667 0.667 0.667
S 0.214 0.214 0.214
S 0.786 0.786 0.786

Computed properties:
The value obtained for the total magnetization is 0.000 μB/f.u. The value obtained for the final energy is -4.452 eV/atom.

(10)
Compound: Nd3ErFe
Source: Alexandria
Functional: PBE
Structure: optimized geometry

a b c (Å): 5.383 5.383 5.383
angles (deg): 90.00 90.00 90.00
Fractional coordinates of all 5 atoms:
Nd 0.000 0.000 0.500
Nd 0.000 0.500 0.000
Nd 0.500 0.000 0.000
Er 0.500 0.500 0.500
Fe 0.000 0.000 0.000

Computed properties:
The formation energy is 0.218 eV per atom. The value obtained for the total magnetization is 0.010 μB/f.u.

(11)
Compound: LiPr2Al12Co3
Source: Alexandria
Functional: PBE
Structure: optimized geometry

a b c (Å): 7.914 7.914 7.914
angles (deg): 64.85 64.85 64.85
Fractional coordinates of all 18 atoms:
Li 0.000 0.000 0.000
Pr 0.417 0.417 0.417
Pr 0.583 0.583 0.583
Al 0.090 0.738 0.738
Al 0.160 0.160 0.534
Al 0.160 0.534 0.160
Al 0.262 0.262 0.910
Al 0.262 0.910 0.262
Al 0.466 0.840 0.840
Al 0.534 0.160 0.160
Al 0.738 0.090 0.738
Al 0.738 0.738 0.090
Al 0.840 0.466 0.840
Al 0.840 0.840 0.466
Al 0.910 0.262 0.262
Co 0.000 0.000 0.500
Co 0.000 0.500 0.000
Co 0.500 0.000 0.000

Computed properties:
The formation energy is 0.084 eV per atom. The value obtained for the total magnetization is 0.000 μB/f.u.

(12)
Compound: NaPa2NiS5
Source: Alexandria
Functional: PBE
Structure: optimized geometry

a b c (Å): 8.329 8.329 8.329
angles (deg): 125.66 125.66 80.44
Fractional coordinates of all 18 atoms:
Na 0.250 0.250 0.000
Na 0.750 0.750 0.000
Pa 0.159 0.659 0.818
Pa 0.341 0.159 0.500
Pa 0.659 0.841 0.500
Pa 0.841 0.341 0.182
Ni 0.250 0.750 0.500
Ni 0.750 0.250 0.500
S 0.000 0.000 0.000
S 0.017 0.219 0.500
S 0.219 0.719 0.202
S 0.281 0.483 0.500
S 0.483 0.983 0.202
S 0.500 0.500 0.000
S 0.517 0.017 0.798
S 0.719 0.517 0.500
S 0.781 0.281 0.798
S 0.983 0.781 0.500

Computed properties:
The value obtained for the total magnetization is 0.970 μB/f.u. The value obtained for the final energy is -6.552 eV/atom.

(13)
Compound: BaMgW2
Source: Alexandria
Functional: PBE
Structure: optimized geometry

a b c (Å): 5.369 5.369 6.479
angles (deg): 95.13 95.13 34.02
Fractional coordinates of all 4 atoms:
Ba 0.000 0.000 0.000
Mg 0.500 0.500 0.500
W 0.239 0.239 0.642
W 0.761 0.761 0.358

Computed properties:
The formation energy is 0.957 eV per atom. The value obtained for the total magnetization is 0.000 μB/f.u.

(14)
Compound: Ac3Ge4Pt
Source: Alexandria
Functional: PBE
Structure: optimized geometry

a b c (Å): 8.697 8.697 8.697
angles (deg): 147.45 139.27 53.07
Fractional coordinates of all 8 atoms:
Ac 0.000 0.000 0.000
Ac 0.309 0.809 0.500
Ac 0.691 0.191 0.500
Ge 0.095 0.382 0.713
Ge 0.332 0.618 0.713
Ge 0.668 0.382 0.287
Ge 0.905 0.618 0.287
Pt 0.500 0.500 0.000

Computed properties:
The formation energy is -0.699 eV per atom. The value obtained for the total magnetization is 0.000 μB/f.u.

(15)
Compound: Sr2Li3US6
Source: Alexandria
Functional: PBE
Structure: optimized geometry

a b c (Å): 7.294 7.294 6.519
angles (deg): 98.73 98.73 122.43
Fractional coordinates of all 12 atoms:
Sr 0.172 0.828 0.000
Sr 0.828 0.172 0.000
Li 0.000 0.000 0.500
Li 0.379 0.621 0.500
Li 0.621 0.379 0.500
U 0.500 0.500 0.000
S 0.135 0.425 0.746
S 0.260 0.260 0.241
S 0.425 0.135 0.746
S 0.575 0.865 0.254
S 0.740 0.740 0.759
S 0.865 0.575 0.254

Computed properties:
The value obtained for the total magnetization is 1.000 μB/f.u. The value obtained for the final energy is -5.366 eV/atom.

(16)
Compound: RbLiMn2
Source: Alexandria
Functional: PBE
Structure: optimized geometry

a b c (Å): 10.691 10.691 10.691
angles (deg): 151.89 151.89 40.18
Fractional coordinates of all 8 atoms:
Rb 0.375 0.625 0.750
Rb 0.625 0.375 0.250
Li 0.125 0.875 0.250
Li 0.875 0.125 0.750
Mn 0.000 0.000 0.000
Mn 0.000 0.000 0.500
Mn 0.000 0.500 0.000
Mn 0.500 0.000 0.500

Computed properties:
The calculation puts the offset from the most stable computed form at 0.0 meV/atom. The formation energy is 1.068 eV per atom. The value obtained for the total magnetization is 8.132 μB/f.u.

(17)
Compound: Tb3YSc2
Source: Alexandria
Functional: PBE
Structure: optimized geometry

a b c (Å): 11.463 11.463 9.908
angles (deg): 107.61 107.61 16.98
Fractional coordinates of all 12 atoms:
Tb 0.060 0.060 0.433
Tb 0.197 0.197 0.708
Tb 0.432 0.432 0.227
Tb 0.568 0.568 0.773
Tb 0.803 0.803 0.292
Tb 0.940 0.940 0.567
Y 0.185 0.185 0.044
Y 0.815 0.815 0.956
Sc 0.192 0.192 0.373
Sc 0.429 0.429 0.861
Sc 0.571 0.571 0.139
Sc 0.808 0.808 0.627

Computed properties:
The calculation puts the offset from the most stable computed form at 0.0 meV/atom. The formation energy is 0.154 eV per atom. The value obtained for the total magnetization is 0.003 μB/f.u.